Entry 1:
# NaGeI3 (meta-GGA SCAN, single point on PBEsol structure)
# * energy: -27.265 eV per atom
# * spin magnetization: 0.00 μB per formula unit
# * raw formation energy: -54.0 kJ/mol of atoms
data_NaGeI3
_chemical_formula_sum 'Na1 Ge1 I3'
_symmetry_space_group_name_H-M 'P m -3 m'
_symmetry_Int_Tables_number 221
_symmetry_space_group_name_Hall '-P 4 2 3'
_cell_length_a 5.759
_cell_length_b 5.759
_cell_length_c 5.759
_cell_angle_alpha 90.00
_cell_angle_beta 90.00
_cell_angle_gamma 90.00
loop_
_atom_site_label
_atom_site_type_symbol
_atom_site_fract_x
_atom_site_fract_y
_atom_site_fract_z
Na1 Na 0.000 0.000 0.000
Ge1 Ge 0.500 0.500 0.500
I1 I 0.000 0.500 0.500

---

Entry 2:
# AlRuCl (meta-GGA SCAN, single point on PBEsol structure)
# * energy: -16.898 eV per atom
# * spin magnetization: 0.32 μB per formula unit
# * raw formation energy: -4.4 kJ/mol of atoms
data_AlRuCl
_chemical_formula_sum 'Al4 Ru4 Cl4'
_symmetry_space_group_name_H-M 'F m m 2'
_symmetry_Int_Tables_number 42
_symmetry_space_group_name_Hall 'F 2 -2'
_cell_length_a 3.046
_cell_length_b 5.039
_cell_length_c 12.173
_cell_angle_alpha 90.00
_cell_angle_beta 90.00
_cell_angle_gamma 90.00
loop_
_atom_site_label
_atom_site_type_symbol
_atom_site_fract_x
_atom_site_fract_y
_atom_site_fract_z
Al1 Al 0.000 0.000 0.000
Ru1 Ru 0.000 0.000 0.648
Cl1 Cl 0.000 0.000 0.348

---

Entry 3:
# Ti2Be2Zn (meta-GGA SCAN, single point on PBEsol structure)
# * energy: -11.100 eV per atom
# * spin magnetization: 0.00 μB per formula unit
data_Ti2Be2Zn
_chemical_formula_sum 'Ti4 Be4 Zn2'
_symmetry_space_group_name_H-M 'P 4/m b m'
_symmetry_Int_Tables_number 127
_symmetry_space_group_name_Hall '-P 4 2ab'
_cell_length_a 5.894
_cell_length_b 5.894
_cell_length_c 3.614
_cell_angle_alpha 90.00
_cell_angle_beta 90.00
_cell_angle_gamma 90.00
loop_
_atom_site_label
_atom_site_type_symbol
_atom_site_fract_x
_atom_site_fract_y
_atom_site_fract_z
Ti1 Ti 0.168 0.332 0.000
Be1 Be 0.128 0.628 0.500
Zn1 Zn 0.000 0.000 0.500

---

Question: Number 1 is which compound?
Answer: NaGeI3

---

Question: Which of these has the highest energy?
Answer: Ti2Be2Zn